3
Lattice="-3.2093 0.6732 0.1479 1.0080 -3.0685 -0.5856 0.0443 -1.2859 6.8135" Properties=species:S:1:pos:R:3 comment="Zr2Zn (PBE-GGA, relaxed)" total_magnetization_mub_per_fu=0.00 e_form_ev_per_atom=-0.037 pbc="T T T"
Zr -0.3678 -2.6913 4.2690
Zr -1.7892 -0.9899 2.1069
Zn 0.0000 0.0000 0.0000

---

5
Lattice="-0.5835 -4.3328 0.8902 4.4819 -2.5149 1.8777 -0.0687 -1.1907 5.3401" Properties=species:S:1:pos:R:3 comment="Tb2AgIr2 (PBE-GGA, relaxed)" total_magnetization_mub_per_fu=0.00 e_form_ev_per_atom=-0.633 pbc="T T T"
Ir 3.4696 -2.8257 5.2918
Tb 0.7171 -2.6307 4.4364
Tb 3.1126 -5.4076 3.6716
Ir 0.3601 -5.2127 2.8162
Ag 1.9492 -3.4238 1.3839

---

8
Lattice="-0.7012 0.4547 -4.1613 2.0056 -7.9394 -1.2056 -6.5548 -3.6973 0.7005" Properties=species:S:1:pos:R:3 comment="La4MnI2Cl (PBE-GGA, relaxed)" e_form_raw_mev_per_atom=-825 total_magnetization_mub_per_fu=0.00 pbc="T T T"
La -1.9188 -3.0681 -4.3411
I -6.5548 -3.6973 0.7005
I -3.6280 -1.6213 -1.7304
La -0.8355 -6.3487 -2.7176
La -4.4149 -4.8332 -1.9488
Cl 0.6522 -3.7423 -2.6835
La -3.3316 -8.1138 -0.3253
Mn -2.2746 -5.8183 -0.2525

---

4
Lattice="-1.7796 0.5285 4.3330 -0.8952 4.3163 1.6701 -4.4557 1.4336 0.5593" Properties=species:S:1:pos:R:3 comment="GeTePt2 (PBE-GGA, relaxed)" e_form_raw_mev_per_atom=19 total_magnetization_mub_per_fu=0.00 pbc="T T T"
Pt -5.3479 4.7088 4.9218
Ge 0.0000 0.0000 0.0000
Pt -1.7826 1.5696 1.6406
Te -3.5652 3.1392 3.2812

---

4
Lattice="3.1977 0.0000 0.0000 0.0000 3.1977 0.0000 0.0000 0.0000 6.4455" Properties=species:S:1:pos:R:3 comment="MnCdMo2 (PBE-GGA, relaxed)" total_magnetization_mub_per_fu=2.87 e_form_ev_per_atom=0.275 pbc="T T T"
Mo 0.0000 0.0000 6.4365
Mn 1.5988 1.5988 4.9917
Mo 1.5988 1.5988 1.3901
Cd 0.0000 0.0000 3.2956

---

10
Lattice="-7.6191 2.2680 3.3627 -2.6772 -8.1878 -0.5435 -3.0428 -4.0121 6.8895" Properties=species:S:1:pos:R:3 comment="Rb2TeSeI6 (PBE-GGA, relaxed)" e_form_raw_mev_per_atom=-604 total_magnetization_mub_per_fu=0.00 pbc="T T T"
Rb -7.9050 -2.3520 5.8309
Se -5.1481 -2.9599 1.4096
I -3.9221 -5.5539 0.4405
I -9.2214 -6.4570 5.6170
I -4.1177 -3.4749 4.0917
I -6.3742 -0.3659 2.3787
Rb -5.4340 -7.5799 3.8778
I -2.5937 -1.4913 0.7102
I -7.7025 -4.4285 2.1090
Te 0.0000 0.0000 0.0000

---

8
Lattice="9.2110 0.0000 0.0000 0.0000 9.2110 0.0000 4.6055 4.6055 3.2801" Properties=species:S:1:pos:R:3 comment="Ba2HfZn (PBE-GGA, relaxed)" total_magnetization_mub_per_fu=0.89 e_form_ev_per_atom=0.729 pbc="T T T"
Zn 4.6055 9.2110 1.6401
Ba 2.6165 6.9082 0.8200
Ba 11.5137 11.2000 2.4601
Ba 6.9082 7.2220 2.4601
Ba 6.5945 2.3027 0.8200
Hf 0.0000 0.0000 0.0000
Zn 4.6055 4.6055 0.0000
Hf 9.2110 4.6055 1.6401

---

6
Lattice="-2.0540 -0.5365 4.5548 -2.5388 3.8077 2.0758 -4.9938 -0.2792 0.4873" Properties=species:S:1:pos:R:3 comment="CoAsP4 (PBE-GGA, relaxed)" total_magnetization_mub_per_fu=1.37 e_form_ev_per_atom=0.854 pbc="T T T"
P -4.6197 0.8454 4.9648
As -7.1899 2.2441 5.3384
P -3.5793 1.1171 2.6575
P -4.8653 3.0459 3.7090
P -6.1088 0.9757 2.9044
Co 0.0000 0.0000 0.0000

---

4
Lattice="4.5021 0.0000 0.0000 -2.2510 3.8989 0.0000 0.0000 0.0000 12.6118" Properties=species:S:1:pos:R:3 comment="Ba3In (PBE-GGA, relaxed)" total_magnetization_mub_per_fu=0.00 e_form_ev_per_atom=-0.094 pbc="T T T"
Ba 0.0000 0.0000 11.9353
Ba 2.2511 1.2996 3.1530
Ba 0.0000 0.0000 6.9825
In 2.2511 1.2996 9.4589

---

4
Lattice="3.1128 0.0000 0.0000 0.0000 3.1128 0.0000 0.0000 0.0000 7.0523" Properties=species:S:1:pos:R:3 comment="HfTi2Os (PBE-GGA, relaxed)" total_magnetization_mub_per_fu=0.00 e_form_ev_per_atom=-0.320 pbc="T T T"
Ti 0.0000 0.0000 1.5207
Os 1.5564 1.5564 0.0000
Hf 1.5564 1.5564 3.5262
Ti 0.0000 0.0000 5.5317

---

8
Lattice="4.2057 0.0000 0.0000 0.0000 3.9706 0.0000 0.0000 0.0000 9.2675" Properties=species:S:1:pos:R:3 comment="Pu4CuGe3 (PBE-GGA, relaxed)" total_magnetization_mub_per_fu=0.08 e_form_ev_per_atom=-0.315 pbc="T T T"
Pu 2.1029 0.0000 5.4381
Pu 0.0000 0.0000 8.4397
Cu 2.1029 1.9853 7.8064
Pu 2.1029 1.9853 3.8034
Pu 0.0000 1.9853 0.8730
Ge 0.0000 1.9853 6.1693
Ge 0.0000 0.0000 3.2401
Ge 2.1029 0.0000 1.3002

---

8
Lattice="-1.4098 0.7663 -5.3211 -5.1434 -1.2210 -1.7156 -4.9056 8.5399 -0.3729" Properties=species:S:1:pos:R:3 comment="Pr4TmTl3 (PBE-GGA, relaxed)" total_magnetization_mub_per_fu=0.85 e_form_ev_per_atom=-0.240 pbc="T T T"
Tl -8.6810 6.3414 -5.4942
Tl -2.7778 1.7438 -1.9154
Pr -7.6209 2.9553 -6.2627
Pr -4.7724 0.9858 -4.3986
Tm 0.0000 0.0000 0.0000
Pr -6.6865 7.0993 -3.0110
Tl -5.7294 4.0426 -3.7048
Pr -3.8380 5.1299 -1.1469

---

6
Lattice="-3.4617 0.5198 1.2224 -1.3288 -1.3105 -3.2043 -0.0648 -12.6373 5.1991" Properties=species:S:1:pos:R:3 comment="CaLaGa (PBE-GGA, relaxed)" total_magnetization_mub_per_fu=0.00 e_form_ev_per_atom=-0.345 pbc="T T T"
Ga -1.4630 -4.8480 1.4825
Ga -1.4442 -1.1467 -0.0413
La -3.8488 -3.4223 -0.2587
La -3.8952 -12.4982 3.4742
Ca -3.8665 -6.8818 1.1656
Ca -1.4858 -9.2891 3.3089

---

4
Lattice="4.6157 0.0000 0.0000 2.3078 3.9973 0.0000 2.3078 1.3324 3.7687" Properties=species:S:1:pos:R:3 comment="OsPt2Pb (PBE-GGA, relaxed)" total_magnetization_mub_per_fu=0.59 e_form_ev_per_atom=0.544 pbc="T T T"
Pt 0.0000 0.0000 0.0000
Pt 2.3078 1.3324 0.9422
Os 4.6157 2.6649 1.8843
Pb 6.9235 3.9973 2.8265

---

12
Lattice="-4.5188 -4.4384 1.6569 4.1010 -4.8124 -1.6990 1.7441 -4.7367 5.0078" Properties=species:S:1:pos:R:3 comment="InGa4Pd (PBE-GGA, relaxed)" total_magnetization_mub_per_fu=0.00 e_form_ev_per_atom=-0.186 pbc="T T T"
Ga 2.3541 -8.3822 0.5965
Ga 4.4529 -7.1639 2.2066
Ga -1.1473 -8.2463 4.3568
Ga 2.4735 -5.7412 0.6089
In 0.0000 0.0000 0.0000
Ga -1.0279 -5.6053 4.3691
Pd 0.7666 -4.6810 2.4938
Pd 0.5597 -9.3065 2.4719
In -0.2089 -4.6254 -0.0210
Ga -0.6661 -6.9304 1.8011
Ga 1.9923 -7.0571 3.1646
Ga -3.1267 -6.8237 2.7591

---

16
Lattice="-3.3342 -3.8332 -1.0476 5.0767 -0.7184 -0.7866 0.8136 -2.8553 7.8584" Properties=species:S:1:pos:R:3 comment="MnGaCu14 (PBE-GGA, relaxed)" total_magnetization_mub_per_fu=3.67 e_form_ev_per_atom=0.007 pbc="T T T"
Cu 3.4715 -4.1911 2.6078
Cu 0.8654 -5.9682 4.5140
Cu 0.4519 -4.5170 0.5200
Ga 0.9060 -3.8412 3.0006
Cu 2.1278 -2.5990 1.0786
Cu 2.5998 -1.9140 3.5254
Cu 2.5350 -4.0278 5.0110
Cu -2.0788 -4.1447 0.9178
Cu 1.6605 -3.2752 -1.3619
Cu -1.6654 -5.5955 4.9109
Cu 0.7943 -1.0127 -0.4502
Cu -0.0129 -3.6740 5.4385
Cu -0.8714 -2.9212 -0.9712
Cu -0.4264 -2.2228 1.4445
Mn 5.1455 -2.2712 3.1321
Cu 3.3189 -1.3694 -0.8412

---

4
Lattice="5.1921 0.0000 0.0000 2.5961 4.4965 0.0000 2.5961 1.4988 4.2394" Properties=species:S:1:pos:R:3 comment="HoErTlZn (PBE-GGA, relaxed)" total_magnetization_mub_per_fu=0.00 e_form_ev_per_atom=-0.315 pbc="T T T"
Zn 0.0000 0.0000 0.0000
Er 2.5961 1.4988 1.0598
Tl 5.1921 2.9977 2.1197
Ho 7.7882 4.4965 3.1795

---

4
Lattice="-1.7435 -3.1373 -0.3870 2.5754 -1.6660 1.9037 -3.7616 1.3202 6.2443" Properties=species:S:1:pos:R:3 comment="DyHoGaHg (PBE-GGA, relaxed)" total_magnetization_mub_per_fu=0.00 e_form_ev_per_atom=-0.531 pbc="T T T"
Hg 0.0041 -2.2571 1.4421
Ga -1.8611 -1.6025 4.5382
Ho -1.3931 0.4889 2.3125
Dy -3.1703 1.1127 5.2627

---

5
Lattice="5.5157 0.0000 0.0000 0.0000 5.5157 0.0000 0.0000 0.0000 5.5157" Properties=species:S:1:pos:R:3 comment="ScBiTe3 (PBE-GGA, relaxed)" e_form_raw_mev_per_atom=-162 total_magnetization_mub_per_fu=0.00 pbc="T T T"
Bi 2.7578 2.7578 2.7578
Sc 0.0000 0.0000 0.0000
Te 2.7578 0.0000 0.0000
Te 0.0000 0.0000 2.7578
Te 0.0000 2.7578 0.0000

---

12
Lattice="4.9644 -0.0620 -1.6029 -1.0702 6.8337 -3.5544 -0.2984 0.3138 9.1826" Properties=species:S:1:pos:R:3 comment="Na5Hg6Pb (PBE-GGA, relaxed)" total_magnetization_mub_per_fu=0.00 e_form_ev_per_atom=-0.224 pbc="T T T"
Hg 2.1988 1.7788 -1.7426
Hg 1.3969 5.3067 5.7678
Na 1.0515 2.4593 4.4058
Na 2.5442 4.6261 -0.3806
Hg 0.3435 3.0352 1.3498
Na -0.5351 3.4168 -1.7772
Hg 3.7721 0.7335 4.4006
Na 3.0392 1.1435 1.2894
Na 0.5565 5.9419 2.7357
Hg -0.1764 6.3519 -0.3754
Hg 3.2522 4.0502 2.6753
Pb 0.0000 0.0000 0.0000

---

14
Lattice="-1.3158 2.8863 -1.6340 -5.0916 -4.6961 -4.1951 -7.9572 1.1261 8.3970" Properties=species:S:1:pos:R:3 comment="Tm4Sn2N (PBE-GGA, relaxed)" e_form_raw_mev_per_atom=-813 total_magnetization_mub_per_fu=0.00 pbc="T T T"
N -3.9786 0.5631 4.1985
Tm -3.3526 -1.5453 -0.0298
Tm -9.3192 -1.7775 0.4688
Tm -9.6962 -2.0247 4.2317
Tm -5.0454 1.0939 2.0992
Tm -6.0800 0.1719 5.1997
N -2.5458 -2.3480 -2.0976
Sn -12.2281 -1.9918 2.4326
Tm -6.9689 -3.7418 -0.9978
Sn -2.1365 1.3082 0.1353
Tm -9.7458 0.9912 5.7030
Sn -6.3509 -0.8037 -0.2015
Sn -8.0138 0.1201 2.7694
Tm -4.6188 -1.6748 -3.1351

---

13
Lattice="-1.5988 -2.7098 -3.5089 6.4990 -3.8450 0.0082 -6.0059 -2.7294 3.3419" Properties=species:S:1:pos:R:3 comment="Sb2Pd8Pt3 (PBE-GGA, relaxed)" e_form_raw_mev_per_atom=-134 total_magnetization_mub_per_fu=0.00 pbc="T T T"
Pd 2.5717 -3.0689 -0.3528
Pd -2.2966 -3.8851 -1.5889
Sb -2.4156 -4.0805 1.1440
Pd 3.7002 -5.5155 0.1547
Pd -0.1169 -3.2571 0.1499
Sb 1.3098 -5.2037 -1.3028
Pt 5.3260 -3.1511 0.0067
Pd -0.9888 -6.0272 -0.3087
Pd -3.6775 -6.2154 0.1940
Pd -4.8060 -3.7688 -0.3135
Pd 1.1908 -5.3991 1.4301
Pt -0.7994 -1.3549 -1.7544
Pt 1.1729 -0.6939 0.0015

---

6
Lattice="0.0000 4.4022 4.4022 4.4022 0.0000 4.4022 4.4022 4.4022 0.0000" Properties=species:S:1:pos:R:3 comment="ScTe4Se (PBE-GGA, relaxed)" e_form_raw_mev_per_atom=256 total_magnetization_mub_per_fu=0.00 pbc="T T T"
Te 5.5021 5.5021 3.3024
Te 3.3024 3.3024 3.3024
Se 0.0000 0.0000 0.0000
Te 3.3024 5.5021 5.5021
Te 5.5021 3.3024 5.5021
Sc 6.6034 6.6034 6.6034

---

4
Lattice="-1.0875 -2.7612 -0.7452 1.6030 1.7868 -1.8974 9.4081 -4.6649 3.5557" Properties=species:S:1:pos:R:3 comment="ReAuCl2 (PBE-GGA, relaxed)" e_form_raw_mev_per_atom=302 total_magnetization_mub_per_fu=0.18 pbc="T T T"
Cl 3.9846 -1.9757 1.5060
Au 7.3138 -3.9859 1.3455
Re 2.6098 -1.6534 -0.4323
Cl 0.7194 -0.3567 0.2719

---

9
Lattice="-4.4880 -2.0478 -0.2602 -0.7872 -4.6912 3.6032 -3.9848 2.2911 3.8056" Properties=species:S:1:pos:R:3 comment="V4Ge5 (PBE-GGA, relaxed)" total_magnetization_mub_per_fu=0.00 e_form_ev_per_atom=0.072 pbc="T T T"
Ge -4.8658 -1.4730 1.7324
V -4.0157 -3.4785 2.8521
Ge -2.2440 -1.0239 -0.1301
Ge -4.3942 -2.9749 5.4162
V -6.6407 -3.9364 4.8386
Ge -1.5829 -2.8610 2.9244
V -2.6193 -0.5115 2.3100
V -5.2443 -0.9694 4.2965
Ge -7.6771 -1.5868 4.2242

---

no.,total DFT energy (no corrections) (eV for the cell shown),Fermi-level density of states (states/eV/cell)
1,-18.48,3.1
2,-33.00,2.7
3,-40.43,8.0
4,-19.76,2.3
5,-30.65,1.1
6,-23.90,2.9
7,-24.31,13.5
8,-28.27,6.3
9,-8.88,4.7
10,-38.25,3.3
11,-77.79,16.1
12,-32.61,10.9
13,-21.98,6.0
14,-24.84,6.0
15,-42.31,3.6
16,-69.44,7.5
17,-14.04,4.0
18,-14.63,2.7
19,-20.45,4.9
20,-14.81,4.3
21,-79.82,12.7
22,-69.66,11.3
23,-20.85,8.7
24,-18.21,3.4
25,-58.92,7.8